1.
## NaLi10Cd6 (PBE-GGA)

Data for a relaxed structure of NaLi10Cd6.

Total energy ... -1.6915 eV/atom
Total magnetization ... 0.00 μB/atom
Space group ... P-31m, No. 162
Energy relative to the elements ... -0.17 eV/atom
Calculated volume ... 339.41 Å³ per cell
Mass density ... 3.752 g cm⁻³
DOS at the Fermi energy ... 0.392 states/eV/atom

Unit cell a=5.7724 b=8.2398 c=8.2398 alpha=120.00 beta=90.00 gamma=90.00
Last column: nearest neighbours and their distance in Å.
Fractional positions:
Li 0.5000 0.6667 0.3333  6 Cd 2.82, 2 Li 2.89
Cd 0.6759 0.3626 0.3626  7 Li 2.82-2.99, 1 Cd 3.04, 1 Na 3.16
Li 0.1641 0.3052 0.3052  5 Cd 2.86-2.99, 4 Li 3.02-3.15, 1 Na 3.18
Cd 0.6759 0.0000 0.6374  7 Li 2.82-2.99, 1 Cd 3.04, 1 Na 3.16
Li 0.1641 0.0000 0.6948  5 Cd 2.86-2.99, 4 Li 3.02-3.15, 1 Na 3.18
Li 0.0000 0.3333 0.6667  8 Li 2.89-3.02, 6 Cd 3.23
Li 0.5000 0.3333 0.6667  6 Cd 2.82, 2 Li 2.89
Cd 0.3241 0.6374 0.6374  7 Li 2.82-2.99, 1 Cd 3.04, 1 Na 3.16
Li 0.8359 0.0000 0.3052  5 Cd 2.86-2.99, 4 Li 3.02-3.15, 1 Na 3.18
Li 0.0000 0.6667 0.3333  8 Li 2.89-3.02, 6 Cd 3.23
Li 0.1641 0.6948 0.0000  5 Cd 2.86-2.99, 4 Li 3.02-3.15, 1 Na 3.18
Li 0.8359 0.3052 0.0000  5 Cd 2.86-2.99, 4 Li 3.02-3.15, 1 Na 3.18
Li 0.8359 0.6948 0.6948  5 Cd 2.86-2.99, 4 Li 3.02-3.15, 1 Na 3.18
Na 0.5000 0.0000 0.0000  6 Cd 3.16, 6 Li 3.18
Cd 0.3241 0.0000 0.3626  7 Li 2.82-2.99, 1 Cd 3.04, 1 Na 3.16
Cd 0.3241 0.3626 0.0000  7 Li 2.82-2.99, 1 Cd 3.04, 1 Na 3.16
Cd 0.6759 0.6374 0.0000  7 Li 2.82-2.99, 1 Cd 3.04, 1 Na 3.16

2.
## NaLiCd2 (PBE-GGA)

Data for a relaxed structure of NaLiCd2.

Total energy ... -1.3746 eV/atom
Total magnetization ... 0.00 μB/atom
Space group ... P4/mmm, No. 123
Energy relative to the elements ... -0.11 eV/atom
Offset from the most stable computed form ... 0.046 eV per atom
Calculated volume ... 90.91 Å³ per cell
Mass density ... 4.653 g cm⁻³
DOS at the Fermi energy ... 0.279 states/eV/atom

Unit cell a=4.5422 b=4.4738 c=4.4738 alpha=90.00 beta=90.00 gamma=90.00
Last column: nearest neighbours and their distance in Å.
Fractional positions:
Cd 0.0000 0.5000 0.0000  4 Cd 3.16, 4 Na 3.19, 4 Li 3.19
Li 0.5000 0.0000 0.0000  4 Na 3.16, 8 Cd 3.19
Na 0.5000 0.5000 0.5000  4 Li 3.16, 8 Cd 3.19
Cd 0.0000 0.0000 0.5000  4 Cd 3.16, 4 Na 3.19, 4 Li 3.19

3.
## Na3LiCd4 (PBE-GGA)

Data for a relaxed structure of Na3LiCd4.

Total energy ... -1.2153 eV/atom
Total magnetization ... 0.00 μB/atom
Space group ... Imm2, No. 44
Energy relative to the elements ... -0.02 eV/atom
Offset from the most stable computed form ... 0.059 eV per atom
Calculated volume ... 202.11 Å³ per cell
Mass density ... 4.318 g cm⁻³
DOS at the Fermi energy ... 0.486 states/eV/atom

Unit cell a=6.8524 b=6.8524 c=6.8524 alpha=79.45 beta=125.67 gamma=126.87
Last column: nearest neighbours and their distance in Å.
Fractional positions:
Cd 0.5893 0.2472 0.3421  4 Cd 3.03-3.34, 1 Li 3.11, 2 Na 3.35
Na 0.5821 0.7353 0.3173  6 Cd 3.08-3.35, 1 Li 3.15, 1 Na 3.26
Li 0.2723 0.5000 0.7723  4 Cd 2.77-3.11, 2 Na 3.11
Cd 0.0891 0.7397 0.8287  1 Li 2.77, 3 Na 3.08
Cd 0.0949 0.7528 0.3421  4 Cd 3.03-3.34, 1 Li 3.11, 2 Na 3.35
Na 0.8522 0.0000 0.8522  2 Li 3.11, 4 Cd 3.12-3.42, 2 Na 3.26
Cd 0.0891 0.2604 0.3494  1 Li 2.77, 3 Na 3.08
Na 0.5821 0.2647 0.8468  6 Cd 3.08-3.35, 1 Li 3.15, 1 Na 3.26

4.
## NaLiCd6 (PBE-GGA)

Data for a relaxed structure of NaLiCd6.

Total energy ... -1.1960 eV/atom
Total magnetization ... 0.00 μB/atom
Space group ... P4/mmm, No. 123
Energy relative to the elements ... -0.11 eV/atom
Offset from the most stable computed form ... 0.012 eV per atom
Calculated volume ... 177.92 Å³ per cell
Mass density ... 6.574 g cm⁻³
DOS at the Fermi energy ... 0.382 states/eV/atom

Unit cell a=4.4715 b=4.4715 c=8.8982 alpha=90.00 beta=90.00 gamma=90.00
Last column: nearest neighbours and their distance in Å.
Fractional positions:
Cd 0.5000 0.0000 0.2615  8 Cd 3.08-3.23, 2 Li 3.08, 2 Na 3.23
Cd 0.5000 0.0000 0.7385  8 Cd 3.08-3.23, 2 Li 3.08, 2 Na 3.23
Cd 0.0000 0.5000 0.7385  2 Li 3.08, 8 Cd 3.08-3.23, 2 Na 3.23
Cd 0.0000 0.5000 0.2615  2 Li 3.08, 8 Cd 3.08-3.23, 2 Na 3.23
Cd 0.5000 0.5000 0.5000  8 Cd 3.08, 4 Li 3.16
Li 0.0000 0.0000 0.5000  12 Cd 3.08-3.16
Na 0.0000 0.0000 0.0000  12 Cd 3.16-3.23
Cd 0.5000 0.5000 0.0000  4 Na 3.16, 8 Cd 3.23

5.
## Na2LiCd3 (PBE-GGA)

Data for a relaxed structure of Na2LiCd3.

Total energy ... -1.3117 eV/atom
Total magnetization ... 0.00 μB/atom
Space group ... Pmma, No. 51
Energy relative to the elements ... -0.10 eV/atom
Offset from the most stable computed form ... 0.048 eV per atom
Calculated volume ... 291.54 Å³ per cell
Mass density ... 4.444 g cm⁻³
DOS at the Fermi energy ... 0.411 states/eV/atom

Unit cell a=5.6931 b=6.0180 c=8.5092 alpha=90.00 beta=90.00 gamma=90.00
Last column: nearest neighbours and their distance in Å.
Fractional positions:
Cd 0.7500 0.7436 0.2698  1 Li 2.82, 4 Cd 2.93-3.11
Li 0.7500 0.5000 0.5525  2 Cd 2.82, 2 Li 2.98, 3 Na 3.00-3.08
Cd 0.2500 0.2564 0.7302  1 Li 2.82, 4 Cd 2.93-3.11
Na 0.7500 0.5000 0.9055  1 Li 3.00, 2 Na 3.27
Na 0.7500 0.0000 0.6318  2 Li 3.08, 8 Cd 3.34-3.44
Na 0.2500 0.0000 0.3682  2 Li 3.08, 8 Cd 3.34-3.44
Li 0.2500 0.5000 0.4475  2 Cd 2.82, 2 Li 2.98, 3 Na 3.00-3.08
Cd 0.2500 0.7436 0.7302  1 Li 2.82, 4 Cd 2.93-3.11
Cd 0.5000 0.0000 0.0000  6 Cd 2.85-3.11
Na 0.2500 0.5000 0.0945  1 Li 3.00, 2 Na 3.27
Cd 0.0000 0.0000 0.0000  6 Cd 2.85-3.11
Cd 0.7500 0.2564 0.2698  1 Li 2.82, 4 Cd 2.93-3.11

6.
## NaLi10Cd2 (PBE-GGA)

Data for a relaxed structure of NaLi10Cd2.

Total energy ... -1.7645 eV/atom
Total magnetization ... 0.00 μB/atom
Space group ... Fmmm, No. 69
Energy relative to the elements ... -0.05 eV/atom
Calculated volume ... 283.64 Å³ per cell
Mass density ... 1.857 g cm⁻³
DOS at the Fermi energy ... 0.346 states/eV/atom

Unit cell a=5.7807 b=7.5942 c=7.5612 alpha=81.63 beta=67.53 gamma=67.63
Last column: nearest neighbours and their distance in Å.
Fractional positions:
Li 0.4969 0.2207 0.7855  2 Cd 2.86, 7 Li 2.91-3.19
Na 0.0000 0.0000 0.0000  16 Li 3.50-3.78, 4 Cd 3.80
Li 0.9930 0.3604 0.6536  7 Li 2.91-3.22, 2 Cd 2.98
Li 0.7176 0.7793 0.7855  2 Cd 2.86, 7 Li 2.91-3.19
Li 0.5031 0.7793 0.2145  2 Cd 2.86, 7 Li 2.91-3.19
Cd 0.5000 0.5000 0.0000  8 Li 2.86-2.98, 2 Cd 2.89
Li 0.0000 0.0000 0.5000  10 Li 2.89-3.11
Li 0.2824 0.2207 0.2145  2 Cd 2.86, 7 Li 2.91-3.19
Li 0.3534 0.6396 0.6536  7 Li 2.91-3.22, 2 Cd 2.98
Li 0.6466 0.3604 0.3464  7 Li 2.91-3.22, 2 Cd 2.98
Li 0.5000 0.0000 0.5000  10 Li 2.89-3.11
Cd 0.0000 0.5000 0.0000  8 Li 2.86-2.98, 2 Cd 2.89
Li 0.0070 0.6396 0.3464  7 Li 2.91-3.22, 2 Cd 2.98

7.
## Na4LiCd (PBE-GGA)

Data for a relaxed structure of Na4LiCd.

Total energy ... -1.3306 eV/atom
Total magnetization ... 0.00 μB/atom
Space group ... C2/c, No. 15
Energy relative to the elements ... 0.02 eV/atom
Offset from the most stable computed form ... 0.000 eV per atom
Calculated volume ... 371.91 Å³ per cell
Mass density ... 1.887 g cm⁻³
DOS at the Fermi energy ... 0.424 states/eV/atom

Unit cell a=5.8890 b=8.9943 c=8.6605 alpha=114.99 beta=101.08 gamma=106.54
Last column: nearest neighbours and their distance in Å.
Fractional positions:
Na 0.7362 0.3885 0.1613  2 Li 3.24-3.28, 2 Na 3.32-3.57, 3 Cd 3.38-3.49
Cd 0.6288 0.3788 0.7576  10 Na 3.33-3.49
Cd 0.3712 0.6212 0.2424  10 Na 3.33-3.49
Li 0.2568 0.0068 0.0136  2 Li 2.95, 6 Na 3.24-3.28
Na 0.7703 0.6916 0.6200  2 Li 3.26-3.36, 2 Cd 3.33-3.45, 3 Na 3.39-3.57
Na 0.2638 0.6115 0.8387  2 Li 3.24-3.28, 2 Na 3.32-3.57, 3 Cd 3.38-3.49
Li 0.7432 0.9932 0.9864  2 Li 2.95, 6 Na 3.24-3.28
Na 0.9251 0.7729 0.1613  2 Li 3.24-3.28, 2 Na 3.32-3.57, 3 Cd 3.38-3.49
Na 0.3497 0.9285 0.6200  2 Li 3.26-3.36, 2 Cd 3.33-3.45, 3 Na 3.39-3.57
Na 0.6503 0.0715 0.3800  2 Li 3.26-3.36, 2 Cd 3.33-3.45, 3 Na 3.39-3.57
Na 0.2297 0.3084 0.3800  2 Li 3.26-3.36, 2 Cd 3.33-3.45, 3 Na 3.39-3.57
Na 0.0749 0.2271 0.8387  2 Li 3.24-3.28, 2 Na 3.32-3.57, 3 Cd 3.38-3.49

8.
## Na2LiCd3 (PBE-GGA)

Data for a relaxed structure of Na2LiCd3.

Total energy ... -1.3602 eV/atom
Total magnetization ... 0.00 μB/atom
Space group ... C2/m, No. 12
Energy relative to the elements ... -0.14 eV/atom
Offset from the most stable computed form ... 0.000 eV per atom
Calculated volume ... 147.76 Å³ per cell
Mass density ... 4.384 g cm⁻³
DOS at the Fermi energy ... 0.261 states/eV/atom

Unit cell a=5.9430 b=5.9430 c=5.9256 alpha=90.09 beta=121.30 gamma=118.71
Last column: nearest neighbours and their distance in Å.
Fractional positions:
Na 0.2460 0.6224 0.8684  9 Cd 3.43-3.50, 3 Li 3.48-3.53, 4 Na 3.51-3.71
Li 0.0000 0.0000 0.0000  6 Cd 2.91-2.96
Cd 0.5000 0.0000 0.5000  2 Li 2.91, 4 Cd 2.97
Cd 0.5000 0.5000 0.5000  2 Li 2.96, 4 Cd 2.97-3.03
Na 0.7540 0.3776 0.1316  9 Cd 3.43-3.50, 3 Li 3.48-3.53, 4 Na 3.51-3.71
Cd 0.0000 0.0000 0.5000  2 Li 2.96, 4 Cd 2.97-3.03

9.
## Na17LiCd11 (PBE-GGA)

Data for a relaxed structure of Na17LiCd11.

Total energy ... -1.2630 eV/atom
Total magnetization ... 0.00 μB/atom
Space group ... Cm, No. 8
Energy relative to the elements ... -0.08 eV/atom
Calculated volume ... 805.12 Å³ per cell
Mass density ... 3.371 g cm⁻³
DOS at the Fermi energy ... 0.542 states/eV/atom

Unit cell a=10.1454 b=10.1454 c=10.2076 alpha=109.55 beta=109.55 gamma=109.69
Last column: nearest neighbours and their distance in Å.
Fractional positions:
Na 0.9964 0.3476 0.9989  4 Na 3.30-3.55, 5 Cd 3.41-3.45, 1 Li 3.44
Na 0.5926 0.0008 0.3118  7 Na 3.30-3.55, 5 Cd 3.35-3.47
Cd 0.8241 0.1834 0.1851  3 Cd 2.96-3.07
Na 0.6490 0.6490 0.6508  4 Na 3.31-3.51, 6 Cd 3.45
Li 0.3532 0.3532 0.1804  3 Cd 2.89-2.92
Na 0.7294 0.4104 0.4116  4 Cd 3.31-3.41, 7 Na 3.35-3.62, 1 Li 3.47
Cd 0.3638 0.1823 0.3599  1 Li 2.92, 2 Cd 2.96-3.01
Na 0.3476 0.9964 0.9989  4 Na 3.30-3.55, 5 Cd 3.41-3.45, 1 Li 3.44
Cd 0.9992 0.8156 0.6374  3 Cd 2.96-3.07
Na 0.0008 0.5926 0.3118  7 Na 3.30-3.55, 5 Cd 3.35-3.47
Na 0.2758 0.6838 0.6834  5 Cd 3.32-3.46, 7 Na 3.32-3.58
Na 0.5945 0.3102 0.9988  4 Cd 3.32-3.46, 7 Na 3.32-3.61, 1 Li 3.58
Na 0.3099 0.0016 0.5935  7 Na 3.31-3.58, 5 Cd 3.35-3.53
Na 0.4091 0.4091 0.7258  7 Na 3.31-3.57, 5 Cd 3.35-3.44
Na 0.6838 0.2758 0.6834  5 Cd 3.32-3.46, 7 Na 3.32-3.58
Cd 0.1823 0.3638 0.3599  1 Li 2.92, 2 Cd 2.96-3.01
Cd 0.1871 0.1871 0.8333  1 Li 2.89, 2 Cd 3.07
Na 0.4104 0.7294 0.4116  4 Cd 3.31-3.41, 7 Na 3.35-3.62, 1 Li 3.47
Na 0.0016 0.3099 0.5935  7 Na 3.31-3.58, 5 Cd 3.35-3.53
Na 0.6912 0.6912 0.2784  7 Na 3.29-3.62, 4 Cd 3.37-3.45, 1 Li 3.46
Cd 0.6370 0.8162 0.9989  3 Cd 2.97-3.05, 1 Na 3.32
Na 0.9969 0.9969 0.9975  1 Li 3.43, 11 Cd 3.48-3.53, 4 Na 3.50-3.55
Cd 0.8156 0.9992 0.6374  3 Cd 2.96-3.07
Cd 0.6372 0.9993 0.8155  3 Cd 2.96-3.07
Cd 0.1834 0.8241 0.1851  3 Cd 2.96-3.07
Na 0.0023 0.0023 0.3439  4 Na 3.29-3.50, 6 Cd 3.40-3.44
Na 0.3102 0.5945 0.9988  4 Cd 3.32-3.46, 7 Na 3.32-3.61, 1 Li 3.58
Cd 0.8162 0.6370 0.9989  3 Cd 2.97-3.05, 1 Na 3.32
Cd 0.9993 0.6372 0.8155  3 Cd 2.96-3.07

10.
## NaLi4Cd (PBE-GGA)

Data for a relaxed structure of NaLi4Cd.

Total energy ... -1.6531 eV/atom
Total magnetization ... 0.00 μB/atom
Space group ... F-43m, No. 216
Energy relative to the elements ... 0.00 eV/atom
Offset from the most stable computed form ... 0.070 eV per atom
Calculated volume ... 127.84 Å³ per cell
Mass density ... 2.119 g cm⁻³
DOS at the Fermi energy ... 0.559 states/eV/atom

Unit cell a=5.6545 b=5.6545 c=5.6545 alpha=60.00 beta=60.00 gamma=60.00
Last column: nearest neighbours and their distance in Å.
Fractional positions:
Li 0.6264 0.1209 0.6264  6 Li 2.80-2.86
Na 0.2500 0.2500 0.2500  12 Li 3.32, 4 Cd 3.46
Cd 0.0000 0.0000 0.0000  12 Li 3.31, 4 Na 3.46
Li 0.6264 0.6264 0.1209  6 Li 2.80-2.86
Li 0.1209 0.6264 0.6264  6 Li 2.80-2.86
Li 0.6264 0.6264 0.6264  6 Li 2.80-2.86

What did the eighth record say?
## Na2LiCd3 (PBE-GGA)

Data for a relaxed structure of Na2LiCd3.

Total energy ... -1.3602 eV/atom
Total magnetization ... 0.00 μB/atom
Space group ... C2/m, No. 12
Energy relative to the elements ... -0.14 eV/atom
Offset from the most stable computed form ... 0.000 eV per atom
Calculated volume ... 147.76 Å³ per cell
Mass density ... 4.384 g cm⁻³
DOS at the Fermi energy ... 0.261 states/eV/atom

Unit cell a=5.9430 b=5.9430 c=5.9256 alpha=90.09 beta=121.30 gamma=118.71
Last column: nearest neighbours and their distance in Å.
Fractional positions:
Na 0.2460 0.6224 0.8684  9 Cd 3.43-3.50, 3 Li 3.48-3.53, 4 Na 3.51-3.71
Li 0.0000 0.0000 0.0000  6 Cd 2.91-2.96
Cd 0.5000 0.0000 0.5000  2 Li 2.91, 4 Cd 2.97
Cd 0.5000 0.5000 0.5000  2 Li 2.96, 4 Cd 2.97-3.03
Na 0.7540 0.3776 0.1316  9 Cd 3.43-3.50, 3 Li 3.48-3.53, 4 Na 3.51-3.71
Cd 0.0000 0.0000 0.5000  2 Li 2.96, 4 Cd 2.97-3.03

Question: Which formula does entry 3 have?
Answer: Na3LiCd4

Question: calculated volume of number 7 (Na4LiCd)?
Answer: 371.91 Å³ per cell